No. 1
Li5AgSn6 | GGA-PBE | optimized geometry

Unit cell a=7.755 b=7.755 c=6.924 alpha=90.00 beta=90.00 gamma=142.97
Fractional positions:
Li 0.000 0.000 0.000
Li 0.333 0.667 0.500
Li 0.338 0.662 0.000
Li 0.662 0.338 0.000
Li 0.667 0.333 0.500
Ag 0.000 0.000 0.500
Sn 0.169 0.831 0.250
Sn 0.169 0.831 0.750
Sn 0.500 0.500 0.254
Sn 0.500 0.500 0.746
Sn 0.831 0.169 0.250
Sn 0.831 0.169 0.750

Results
**Crystal system**: orthorhombic
**ΔH_f (0 K)**: -24.04 kJ per mole of atoms

=====

No. 2
Li2Ag3Sn3 | GGA-PBE | optimized geometry

Unit cell a=8.242 b=8.242 c=5.839 alpha=90.00 beta=90.00 gamma=120.00
Fractional positions:
Li 0.333 0.667 0.000
Li 0.333 0.667 0.500
Li 0.667 0.333 0.000
Li 0.667 0.333 0.500
Ag 0.000 0.380 0.250
Ag 0.000 0.620 0.750
Ag 0.380 0.000 0.250
Ag 0.380 0.380 0.750
Ag 0.620 0.000 0.750
Ag 0.620 0.620 0.250
Sn 0.000 0.283 0.750
Sn 0.000 0.717 0.250
Sn 0.283 0.000 0.750
Sn 0.283 0.283 0.250
Sn 0.717 0.000 0.250
Sn 0.717 0.717 0.750

Results
**Crystal system**: hexagonal
**ΔH_f (0 K)**: -11.52 kJ per mole of atoms

=====

No. 3
LiAgSn | GGA-PBE | optimized geometry

Unit cell a=4.773 b=4.773 c=3.126 alpha=90.00 beta=90.00 gamma=120.00
Fractional positions:
Li 0.000 0.000 0.000
Ag 0.667 0.333 0.498
Sn 0.333 0.667 0.500

Results
**Crystal system**: trigonal
**ΔH_f (0 K)**: -22.64 kJ per mole of atoms

=====

No. 4
Li2Ag7Sn2 | GGA-PBE | optimized geometry

Unit cell a=6.849 b=6.849 c=5.090 alpha=107.91 beta=107.91 gamma=90.54
Fractional positions:
Li 0.224 0.776 0.000
Li 0.776 0.224 0.000
Ag 0.000 0.000 0.500
Ag 0.076 0.588 0.331
Ag 0.410 0.410 0.684
Ag 0.412 0.924 0.669
Ag 0.588 0.076 0.331
Ag 0.590 0.590 0.316
Ag 0.924 0.412 0.669
Sn 0.251 0.251 0.051
Sn 0.749 0.749 0.949

Results
**Crystal system**: monoclinic
**ΔH_f (0 K)**: -6.62 kJ per mole of atoms